Entry 1:
{"formula": "Zn2FePd8", "functional": "PBE-GGA", "state": "optimized geometry", "rho_g_cm3": 10.270, "e_above_lowest_polymorph_mev_per_atom": 0, "crystal_system": "orthorhombic", "ef_ev_per_atom": -0.215, "sg": "Immm, No. 71", "energy_ev_per_atom": -4.9921, "n_ef_per_ev_cell": 8.16, "cell": [[3.9256, 0.0000, -1.1947], [-1.0236, 5.9221, -3.3635], [0.0358, 0.0706, 7.1644]], "species": ["Zn", "Zn", "Fe", "Pd", "Pd", "Pd", "Pd", "Pd", "Pd", "Pd", "Pd"], "frac_coords": [[0.1933, 0.6934, 0.3867], [0.8067, 0.3066, 0.6133], [0.5000, 0.0000, 0.0000], [0.6574, 0.8796, 0.3148], [0.3426, 0.5648, 0.6852], [0.1461, 0.1461, 0.2922], [0.0000, 0.3023, 0.0000], [0.8539, 0.8539, 0.7078], [0.6574, 0.4352, 0.3148], [0.3426, 0.1204, 0.6852], [0.0000, 0.6977, 0.0000]]}

=====

Entry 2:
{"formula": "Zn2FePd", "functional": "PBE-GGA", "state": "optimized geometry", "rho_g_cm3": 7.992, "crystal_system": "tetragonal", "ef_ev_per_atom": 0.151, "sg": "I-42d, No. 122", "energy_ev_per_atom": -3.9001, "n_ef_per_ev_cell": 4.81, "cell": [[6.8342, 0.0000, 0.0000], [0.0000, 6.8342, 0.0000], [3.4171, 3.4171, 2.6075]], "species": ["Zn", "Zn", "Zn", "Zn", "Fe", "Fe", "Pd", "Pd"], "frac_coords": [[0.6193, 0.1250, 0.2500], [0.1307, 0.6250, 0.2500], [0.3750, 0.3807, 0.7500], [0.8750, 0.8693, 0.7500], [0.5000, 0.5000, 0.0000], [0.2500, 0.7500, 0.5000], [0.0000, 0.0000, 0.0000], [0.7500, 0.2500, 0.5000]]}

=====

Entry 3:
{"formula": "Zn2FePd8", "functional": "PBE-GGA", "state": "optimized geometry", "rho_g_cm3": 9.651, "e_above_lowest_polymorph_mev_per_atom": 235, "crystal_system": "monoclinic", "ef_ev_per_atom": 0.021, "sg": "C2/m, No. 12", "energy_ev_per_atom": -4.7567, "n_ef_per_ev_cell": 7.88, "cell": [[-3.4909, 1.3106, -3.0116], [-5.7061, -1.0608, 3.5734], [-3.2990, 4.9121, 3.3825]], "species": ["Zn", "Zn", "Fe", "Pd", "Pd", "Pd", "Pd", "Pd", "Pd", "Pd", "Pd"], "frac_coords": [[0.4949, 0.1338, 0.1338], [0.5051, 0.8662, 0.8662], [0.0000, 0.0000, 0.0000], [0.7788, 0.2294, 0.6399], [0.2212, 0.3601, 0.7706], [0.9259, 0.2246, 0.2246], [0.0741, 0.7754, 0.7754], [0.7788, 0.6399, 0.2294], [0.2212, 0.7706, 0.3601], [0.3319, 0.3538, 0.3538], [0.6681, 0.6462, 0.6462]]}

=====

Entry 4:
{"formula": "ZnFe2Pd2", "functional": "PBE-GGA", "state": "optimized geometry", "rho_g_cm3": 8.643, "e_above_lowest_polymorph_mev_per_atom": 3, "crystal_system": "tetragonal", "ef_ev_per_atom": 0.072, "sg": "P4/mbm, No. 127", "energy_ev_per_atom": -5.6454, "n_ef_per_ev_cell": 6.42, "cell": [[-3.2070, -2.1303, -6.2879], [6.0807, -3.7455, -1.8324], [-0.9962, -2.2367, 1.2659]], "species": ["Zn", "Zn", "Fe", "Fe", "Fe", "Fe", "Pd", "Pd", "Pd", "Pd"], "frac_coords": [[0.0000, 0.0000, 0.0000], [0.5000, 0.5000, 0.0000], [0.1628, 0.6628, 0.5000], [0.6628, 0.8372, 0.5000], [0.8372, 0.3372, 0.5000], [0.3372, 0.1628, 0.5000], [0.3658, 0.8658, 0.0000], [0.8658, 0.6342, 0.0000], [0.6342, 0.1342, 0.0000], [0.1342, 0.3658, 0.0000]]}

=====

Entry 5:
{"formula": "ZnFe2Pd8", "functional": "PBE-GGA", "state": "optimized geometry", "rho_g_cm3": 10.492, "crystal_system": "monoclinic", "ef_ev_per_atom": -0.176, "sg": "C2/m, No. 12", "energy_ev_per_atom": -5.6067, "n_ef_per_ev_cell": 7.48, "cell": [[-3.3645, 1.9979, -0.6041], [-3.0799, -5.3031, -0.3853], [1.5223, 0.7622, 7.0178]], "species": ["Zn", "Fe", "Fe", "Pd", "Pd", "Pd", "Pd", "Pd", "Pd", "Pd", "Pd"], "frac_coords": [[0.5000, 0.0000, 0.0000], [0.7760, 0.3510, 0.5520], [0.2240, 0.6490, 0.4480], [0.4010, 0.5382, 0.8020], [0.6797, 0.9176, 0.3594], [0.8541, 0.7980, 0.7083], [0.9563, 0.2669, 0.9126], [0.1459, 0.2020, 0.2917], [0.3203, 0.0824, 0.6406], [0.5990, 0.4618, 0.1980], [0.0437, 0.7331, 0.0874]]}

=====

Entry 6:
{"formula": "ZnFe2Pd9", "functional": "PBE-GGA", "state": "optimized geometry", "rho_g_cm3": 10.599, "crystal_system": "tetragonal", "ef_ev_per_atom": -0.169, "sg": "P4/mmm, No. 123", "energy_ev_per_atom": -5.5798, "n_ef_per_ev_cell": 13.08, "cell": [[-0.9176, -3.4049, 1.6700], [-0.9501, -1.4570, -3.4927], [10.9888, -3.6756, -1.4561]], "species": ["Zn", "Fe", "Fe", "Pd", "Pd", "Pd", "Pd", "Pd", "Pd", "Pd", "Pd", "Pd"], "frac_coords": [[0.0000, 0.0000, 0.0000], [0.0000, 0.0000, 0.3306], [0.0000, 0.0000, 0.6694], [0.5000, 0.5000, 0.0000], [0.5000, 0.5000, 0.3354], [0.5000, 0.5000, 0.6646], [0.5000, 0.0000, 0.1701], [0.5000, 0.0000, 0.5000], [0.5000, 0.0000, 0.8299], [0.0000, 0.5000, 0.1701], [0.0000, 0.5000, 0.5000], [0.0000, 0.5000, 0.8299]]}

=====

Entry 7:
{"formula": "ZnFe3Pd12", "functional": "PBE-GGA", "state": "optimized geometry", "rho_g_cm3": 10.588, "crystal_system": "tetragonal", "ef_ev_per_atom": -0.151, "sg": "P4/mmm, No. 123", "energy_ev_per_atom": -5.7123, "n_ef_per_ev_cell": 15.56, "cell": [[3.9025, 0.0000, 0.0000], [0.0000, 3.9025, 0.0000], [0.0000, 0.0000, 15.5502]], "species": ["Zn", "Fe", "Fe", "Fe", "Pd", "Pd", "Pd", "Pd", "Pd", "Pd", "Pd", "Pd", "Pd", "Pd", "Pd", "Pd"], "frac_coords": [[0.0000, 0.0000, 0.0000], [0.0000, 0.0000, 0.2477], [0.0000, 0.0000, 0.5000], [0.0000, 0.0000, 0.7523], [0.5000, 0.5000, 0.0000], [0.5000, 0.5000, 0.2519], [0.5000, 0.5000, 0.5000], [0.5000, 0.5000, 0.7481], [0.5000, 0.0000, 0.1277], [0.5000, 0.0000, 0.3759], [0.5000, 0.0000, 0.6241], [0.5000, 0.0000, 0.8723], [0.0000, 0.5000, 0.1277], [0.0000, 0.5000, 0.3759], [0.0000, 0.5000, 0.6241], [0.0000, 0.5000, 0.8723]]}

=====

Entry 8:
{"formula": "ZnFePd4", "functional": "PBE-GGA", "state": "optimized geometry", "rho_g_cm3": 9.058, "e_above_lowest_polymorph_mev_per_atom": 225, "crystal_system": "trigonal", "ef_ev_per_atom": -0.027, "sg": "R-3m, No. 166", "energy_ev_per_atom": -5.1114, "n_ef_per_ev_cell": 2.42, "cell": [[-1.7982, 3.4395, -1.4535], [-3.7050, -0.2190, -1.8431], [-4.8558, 2.0099, 4.8546]], "species": ["Zn", "Fe", "Pd", "Pd", "Pd", "Pd"], "frac_coords": [[0.5000, 0.5000, 0.5000], [0.0000, 0.0000, 0.0000], [0.6260, 0.6259, 0.1221], [0.3740, 0.3741, 0.8779], [0.1240, 0.1238, 0.6283], [0.8760, 0.8762, 0.3717]]}